(1)
# LaPRh, relaxed, DFT GGA-PBE
# formation enthalpy at 0 K	-0.76	eV per atom
# total magnetization	0.021	Bohr magnetons per cell
# calculated density	6.79	g cm⁻³
data_LaPRh
_cell_length_a 6.439
_cell_length_b 6.439
_cell_length_c 6.439
_cell_angle_alpha 90.00
_cell_angle_beta 90.00
_cell_angle_gamma 90.00
_symmetry_space_group_name_H-M 'F -4 3 m'
_symmetry_Int_Tables_number 216
_symmetry_space_group_name_Hall 'F -4 2 3'
loop_
_atom_site_label
_atom_site_type_symbol
_atom_site_fract_x
_atom_site_fract_y
_atom_site_fract_z
La1 La 0.000 0.000 0.000
P1 P 0.000 0.000 0.500
Rh1 Rh 0.250 0.250 0.250

(2)
# Tb3HoCd, relaxed, DFT GGA-PBE
# formation enthalpy at 0 K	-0.13	eV per atom
# total magnetization	0.000	Bohr magnetons per cell
# calculated density	8.41	g cm⁻³
# energy above the lowest structure with this stoichiometry	0	meV/atom
data_Tb3HoCd
_cell_length_a 29.720
_cell_length_b 3.650
_cell_length_c 5.489
_cell_angle_alpha 90.00
_cell_angle_beta 90.50
_cell_angle_gamma 90.00
_symmetry_space_group_name_H-M 'C 1 2/m 1'
_symmetry_Int_Tables_number 12
loop_
_symmetry_equiv_pos_as_xyz
'x,y,z'
'-x,-y,-z'
'-x,y,-z'
'x,-y,z'
'x+1/2,y+1/2,z'
'-x+1/2,-y+1/2,-z'
'-x+1/2,y+1/2,-z'
'x+1/2,-y+1/2,z'
loop_
_atom_site_label
_atom_site_type_symbol
_atom_site_fract_x
_atom_site_fract_y
_atom_site_fract_z
Tb1 Tb 0.051 0.000 0.239
Tb2 Tb 0.129 0.000 0.744
Tb3 Tb 0.161 0.500 0.246
Ho1 Ho 0.233 0.500 0.749
Cd1 Cd 0.039 0.500 0.736

(3)
# K3In5Se12, relaxed, DFT GGA-PBE
# total magnetization	0.000	Bohr magnetons per cell
# calculated density	4.01	g cm⁻³
# energy relative to the elements, uncorrected	-0.41	eV/atom
data_K3In5Se12
_cell_length_a 17.581
_cell_length_b 17.581
_cell_length_c 17.581
_cell_angle_alpha 90.00
_cell_angle_beta 90.00
_cell_angle_gamma 90.00
_symmetry_space_group_name_H-M 'I a -3 d'
_symmetry_Int_Tables_number 230
_symmetry_space_group_name_Hall '-I 4bd 2c 3'
loop_
_atom_site_label
_atom_site_type_symbol
_atom_site_fract_x
_atom_site_fract_y
_atom_site_fract_z
K1 K 0.000 0.250 0.125
In1 In 0.000 0.000 0.000
In2 In 0.000 0.250 0.375
Se1 Se 0.067 0.080 0.631

(4)
# Zr2AlCl, relaxed, DFT GGA-PBE
# total magnetization	0.000	Bohr magnetons per cell
# calculated density	5.35	g cm⁻³
# energy relative to the elements, uncorrected	-0.49	eV/atom
# energy above the lowest structure with this stoichiometry	85	meV/atom
data_Zr2AlCl
_cell_length_a 3.132
_cell_length_b 3.132
_cell_length_c 7.747
_cell_angle_alpha 90.00
_cell_angle_beta 90.00
_cell_angle_gamma 90.00
_symmetry_space_group_name_H-M 'P 4/m m m'
_symmetry_Int_Tables_number 123
_symmetry_space_group_name_Hall '-P 4 2'
loop_
_atom_site_label
_atom_site_type_symbol
_atom_site_fract_x
_atom_site_fract_y
_atom_site_fract_z
Zr1 Zr 0.000 0.000 0.247
Al1 Al 0.500 0.500 0.000
Cl1 Cl 0.500 0.500 0.500

(5)
# MnSbTe2H, relaxed, DFT GGA-PBE
# total magnetization	4.468	Bohr magnetons per cell
# calculated density	6.50	g cm⁻³
# energy above the lowest structure with this stoichiometry	0	meV/atom
data_MnSbTe2H
_cell_length_a 5.363
_cell_length_b 5.363
_cell_length_c 3.843
_cell_angle_alpha 90.00
_cell_angle_beta 90.00
_cell_angle_gamma 90.00
_symmetry_space_group_name_H-M 'P 4/m m m'
_symmetry_Int_Tables_number 123
_symmetry_space_group_name_Hall '-P 4 2'
loop_
_atom_site_label
_atom_site_type_symbol
_atom_site_fract_x
_atom_site_fract_y
_atom_site_fract_z
Mn1 Mn 0.000 0.000 0.000
Sb1 Sb 0.500 0.500 0.000
Te1 Te 0.000 0.500 0.500
H1 H 0.500 0.500 0.500

(6)
# Ac12PmPb4, relaxed, DFT GGA-PBE
# formation enthalpy at 0 K	0.17	eV per atom
# total magnetization	0.048	Bohr magnetons per cell
# calculated density	7.37	g cm⁻³
data_Ac12PmPb4
_cell_length_a 11.857
_cell_length_b 11.857
_cell_length_c 11.857
_cell_angle_alpha 90.00
_cell_angle_beta 90.00
_cell_angle_gamma 90.00
_symmetry_space_group_name_H-M 'I m -3'
_symmetry_Int_Tables_number 204
_symmetry_space_group_name_Hall '-I 2 2 3'
loop_
_atom_site_label
_atom_site_type_symbol
_atom_site_fract_x
_atom_site_fract_y
_atom_site_fract_z
Ac1 Ac 0.000 0.164 0.331
Pm1 Pm 0.000 0.000 0.000
Pb1 Pb 0.250 0.250 0.250